CdAs2I8, optimized geometry, DFT PBE; offset from the most stable computed form = 28 meV/atom
1.0
-5.1029 -4.5578 5.1659
-5.0873 -3.7223 -5.6933
4.9639 -6.7031 1.6054
Cd As I
1 2 8
direct
0.0000 0.0000 0.0000
0.6148 0.8134 0.8134
0.3852 0.1866 0.1866
0.2284 0.2886 0.9650
0.7716 0.0350 0.7114
0.2334 0.7772 0.7772
0.7666 0.2228 0.2228
0.2284 0.9650 0.2886
0.7716 0.7114 0.0350
0.7241 0.5736 0.5736
0.2759 0.4264 0.4264

CdAs2I8, optimized geometry, DFT PBE; offset from the most stable computed form = 0 meV/atom
1.0
4.2006 -0.0333 -1.0630
-0.3136 10.3403 -0.9220
0.1587 -0.1284 11.7837
Cd As I
1 2 8
direct
0.5000 0.0000 0.0000
0.8952 0.7161 0.3309
0.1048 0.2839 0.6691
0.5144 0.5341 0.2024
0.4237 0.0761 0.7315
0.2514 0.2926 0.4689
0.9117 0.8168 0.9188
0.7486 0.7074 0.5311
0.5763 0.9239 0.2685
0.4856 0.4659 0.7976
0.0883 0.1832 0.0812

Cd2AsI, optimized geometry, DFT PBE; offset from the most stable computed form = 612 meV/atom
1.0
0.0000 3.7290 3.7290
3.7290 0.0000 3.7290
3.7290 3.7290 0.0000
I As Cd
1 1 2
direct
0.5000 0.5000 0.5000
0.0000 0.0000 0.0000
0.2500 0.2500 0.2500
0.7500 0.7500 0.7500

Cd2As2I, optimized geometry, DFT PBE; offset from the most stable computed form = 73 meV/atom
1.0
4.1383 0.0000 0.0000
0.0000 4.1383 0.0000
2.0692 2.0692 7.4647
I As Cd
1 2 2
direct
0.0000 0.0000 0.0000
0.7500 0.2500 0.5000
0.2500 0.7500 0.5000
0.3900 0.3900 0.2199
0.6100 0.6100 0.7801

Cd3AsI, optimized geometry, DFT PBE; offset from the most stable computed form = 0 meV/atom
1.0
7.6585 0.4214 0.3140
3.4524 6.8492 0.3140
3.4524 2.2591 6.4735
Cd As I
6 2 2
direct
0.1693 0.7459 0.3190
0.3190 0.1693 0.7459
0.7459 0.3190 0.1693
0.6693 0.8190 0.2459
0.8190 0.2459 0.6693
0.2459 0.6693 0.8190
0.9941 0.9941 0.9941
0.4941 0.4941 0.4941
0.7432 0.7432 0.7432
0.2432 0.2432 0.2432

Cd2AsI, optimized geometry, DFT PBE; offset from the most stable computed form = 0 meV/atom
1.0
7.6043 0.0000 0.0000
0.0000 8.0764 0.0000
0.0000 0.0000 9.1707
Cd As I
8 4 4
direct
0.0834 0.4099 0.8403
0.5834 0.5901 0.1597
0.5834 0.0901 0.3403
0.0834 0.9099 0.6597
0.6680 0.0467 0.9158
0.1680 0.9533 0.0842
0.1680 0.4533 0.4158
0.6680 0.5467 0.5842
0.9999 0.1009 0.8759
0.4999 0.8991 0.1241
0.4999 0.3991 0.3759
0.9999 0.6009 0.6241
0.9984 0.0933 0.3734
0.4984 0.9067 0.6266
0.4984 0.4067 0.8734
0.9984 0.5933 0.1266

Cd2As3I: optimized geometry, PBE.

```
Cd2As3I
1.0
-5.2444 -2.7902 2.6528
-0.7140 -2.4139 -5.9991
3.3904 -7.2675 1.4593
Cd As I
4 6 2
direct
0.1122 0.4023 0.7882
0.5977 0.8878 0.7118
0.4023 0.1122 0.2882
0.8878 0.5977 0.2118
0.6712 0.5767 0.5309
0.5767 0.6712 0.0309
0.2906 0.7094 0.2500
0.7094 0.2906 0.7500
0.3288 0.4233 0.4691
0.4233 0.3288 0.9691
0.8733 0.1267 0.2500
0.1267 0.8733 0.7500
```

Cd12As5I3: optimized geometry, PBE.

```
Cd12As5I3
1.0
-8.8154 -11.9880 -1.6087
13.6982 -4.3980 4.1265
-5.7131 9.0227 10.4862
I As Cd
12 20 48
direct
0.7500 0.3750 0.1250
0.8750 0.7500 0.1250
0.3750 0.7500 0.6250
0.2500 0.1250 0.3750
0.8750 0.1250 0.2500
0.3750 0.6250 0.2500
0.6250 0.3750 0.7500
0.1250 0.8750 0.7500
0.7500 0.8750 0.6250
0.6250 0.2500 0.3750
0.1250 0.2500 0.8750
0.2500 0.6250 0.8750
0.1250 0.3750 0.2500
0.0000 0.5000 0.0000
0.0000 0.0000 0.0000
0.3750 0.2500 0.1250
0.5000 0.0000 0.5000
0.5000 0.5000 0.0000
0.1250 0.7500 0.3750
0.7500 0.1250 0.8750
0.7500 0.6250 0.3750
0.3750 0.1250 0.7500
0.6250 0.8750 0.2500
0.5000 0.5000 0.5000
0.5000 0.0000 0.0000
0.0000 0.0000 0.5000
0.2500 0.3750 0.6250
0.2500 0.8750 0.1250
0.0000 0.5000 0.5000
0.8750 0.2500 0.6250
0.6250 0.7500 0.8750
0.8750 0.6250 0.7500
0.6993 0.0687 0.0091
0.3098 0.5091 0.4403
0.9909 0.4313 0.3007
0.5091 0.1993 0.0687
0.6306 0.6993 0.6902
0.9909 0.5597 0.1902
0.3098 0.8007 0.3694
0.0597 0.8694 0.0687
0.5597 0.9909 0.6902
0.6993 0.6306 0.1902
0.8007 0.4909 0.4313
0.8098 0.9403 0.0091
0.0687 0.6993 0.5091
0.4313 0.4403 0.1306
0.1306 0.9403 0.4313
0.3694 0.0687 0.5597
0.1306 0.1902 0.1993
0.4909 0.6902 0.0597
0.8098 0.8694 0.3007
0.0687 0.3694 0.0597
0.4313 0.9909 0.8007
0.5597 0.5687 0.3694
0.9403 0.8098 0.5091
0.8007 0.3098 0.8694
0.4403 0.4313 0.6306
0.0597 0.1902 0.4909
0.1993 0.6902 0.1306
0.1902 0.1306 0.6993
0.5687 0.0091 0.1993
0.9313 0.6306 0.9403
0.5091 0.3098 0.9403
0.6306 0.9313 0.4403
0.8694 0.8098 0.8007
0.8694 0.0597 0.5687
0.9313 0.3007 0.4909
0.1902 0.0597 0.9909
0.5687 0.5597 0.8694
0.4403 0.0091 0.3098
0.3007 0.3694 0.8098
0.1993 0.5091 0.5687
0.9403 0.1306 0.9313
0.6902 0.1993 0.6306
0.4909 0.8007 0.9313
0.0091 0.4403 0.8098
0.3694 0.3007 0.3098
0.0091 0.5687 0.6993
0.6902 0.4909 0.5597
0.3007 0.9313 0.9909
```

Formation energy from raw total energies in eV/atom, matching the order above: -0.2149; -0.2429; 0.3076; 0.0816; -0.0504; -0.3047; -0.2123; -0.0178